First-principles (PBE+U) data for a relaxed structure of BaCr2SbO8, as listed in Alexandria.

The structure in POSCAR format:
```
BaCr2SbO8
1.0
5.6571 0.0000 0.0000
-2.8286 4.8992 0.0000
0.0000 0.0000 7.6708
Ba Cr Sb O
1 2 1 8
Direct
0.0000 0.0000 0.0000 Ba
0.3333 0.6667 0.7644 Cr
0.6667 0.3333 0.2356 Cr
0.0000 0.0000 0.5000 Sb
0.1603 0.3335 0.6952 O
0.1732 0.8397 0.6952 O
0.3335 0.1732 0.3048 O
0.3333 0.6667 0.9798 O
0.6667 0.3333 0.0202 O
0.6665 0.8268 0.6952 O
0.8268 0.1603 0.3048 O
0.8397 0.6665 0.3048 O
```

Calculated volume   17.717 Å³ per atom
E   -6.618 eV/atom
Spin magnetization   1.00 Bohr magnetons per cell
Space-group type   No. 147